Entry a
9
Lattice="-4.418 1.328 0.966 -2.232 -6.251 -1.620 5.461 -0.250 7.848" Properties=species:S:1:pos:R:3 comment="Mg6Bi2Sb PBE optimized geometry" rho_g_cm3=4.32 vol_a3_per_cell=264 pbc="T T T"
Mg -3.838 -3.897 -0.699
Mg -2.813 -1.026 0.045
Mg -1.342 -2.906 5.095
Mg -0.108 0.551 5.991
Bi 1.472 -1.821 5.000
Bi -2.662 -3.352 2.195
Sb 0.000 0.000 0.000
Mg -1.082 -5.725 1.203
Mg 0.152 -2.267 2.099



Entry b
18
Lattice="7.367 0.000 -0.234 0.000 6.476 0.000 -1.223 0.000 10.187" Properties=species:S:1:pos:R:3 comment="Mg6Bi2Sb PBE optimized geometry" rho_g_cm3=4.70 vol_a3_per_cell=484 pbc="T T T"
Mg -0.188 6.468 7.952
Mg 4.564 4.747 5.503
Sb 3.683 3.238 -0.117
Bi 6.353 3.230 7.581
Mg 1.580 1.730 4.449
Mg 2.036 3.230 7.211
Mg 6.331 0.008 2.001
Mg 1.588 4.762 4.452
Bi 2.862 6.469 7.349
Sb -0.612 0.000 5.093
Mg 1.492 4.968 0.527
Bi -0.209 3.246 2.372
Mg 1.483 1.524 0.525
Bi 3.281 0.008 2.604
Mg 4.660 4.952 9.428
Mg 4.651 1.509 9.426
Mg 4.107 3.247 2.742
Mg 4.555 1.714 5.501



Relative calculated energies, zero for the most stable structure, unit meV/atom: entry a 21; entry b 0.



Entry a
20
Lattice="7.204 0.000 0.000 0.000 9.275 0.281 0.000 -1.796 9.104" Properties=species:S:1:pos:R:3 comment="Mg6Bi3Sb PBE optimized geometry" rho_g_cm3=4.85 vol_a3_per_cell=612 pbc="T T T"
Mg 1.308 2.212 8.407
Bi 3.414 2.767 0.958
Mg 4.910 7.702 4.033
Mg 1.404 5.079 5.975
Mg 4.369 0.506 7.270
Sb 7.045 -0.089 7.744
Mg 5.640 9.026 0.479
Bi 3.414 7.163 6.474
Mg 1.308 -0.222 5.352
Bi 3.010 2.529 5.657
Bi 7.016 0.317 2.911
Mg 5.006 2.401 3.410
Mg 2.038 -1.547 8.906
Mg 0.766 6.974 2.115
Bi 6.613 4.950 3.728
Mg 5.006 4.691 6.284
Sb 3.443 7.569 1.641
Mg 4.910 5.267 0.978
Bi 7.016 4.712 8.427
Mg 1.404 2.789 3.101



Entry b
20
Lattice="-3.685 -0.968 2.264 3.057 -11.074 0.243 4.758 4.616 9.720" Properties=species:S:1:pos:R:3 comment="Mg6Bi3Sb PBE optimized geometry" rho_g_cm3=5.13 vol_a3_per_cell=580 pbc="T T T"
Mg 0.759 -10.467 3.270
Mg -1.242 -5.016 2.342
Mg 1.298 -3.023 7.328
Mg 4.488 -7.660 6.202
Mg 3.255 -4.897 9.714
Mg 5.371 -2.409 9.884
Bi 2.471 -1.872 9.731
Mg 3.172 0.082 7.368
Bi 2.026 -5.983 7.249
Mg -0.359 0.235 6.024
Mg 2.832 -4.402 4.898
Mg 0.874 -2.528 2.512
Sb 3.421 -9.053 3.868
Mg 0.958 -7.507 4.858
Bi 6.178 -5.204 10.002
Sb 0.709 1.628 8.358
Bi 2.103 -1.442 4.977
Bi 1.658 -5.552 2.495
Bi -2.048 -2.221 2.224
Mg 3.370 3.042 8.956



Relative calculated energies, zero for the most stable structure, unit meV/atom: entry a 0; entry b 8.



Entry a
5
Lattice="5.342 0.000 0.000 0.000 5.342 0.000 0.000 0.000 5.342" Properties=species:S:1:pos:R:3 comment="Mg3BiSb PBE optimized geometry" rho_g_cm3=4.40 vol_a3_per_cell=152 pbc="T T T"
Mg 2.671 0.000 0.000
Mg 0.000 0.000 2.671
Bi 2.671 2.671 2.671
Sb 0.000 0.000 0.000
Mg 0.000 2.671 0.000



Entry b
10
Lattice="-2.153 4.092 1.172 -1.810 0.902 -6.473 -6.181 -5.663 8.417" Properties=species:S:1:pos:R:3 comment="Mg3BiSb PBE optimized geometry" rho_g_cm3=4.36 vol_a3_per_cell=307 pbc="T T T"
Sb -3.656 -0.800 0.931
Mg -4.044 1.129 3.190
Bi -3.325 3.029 -2.123
Mg -5.260 -2.216 2.929
Mg -2.863 1.109 -4.277
Bi -7.789 -3.215 1.770
Sb -5.648 -0.287 5.189
Mg -6.197 -1.815 -0.192
Mg -8.251 -1.295 3.923
Mg -4.917 1.629 -0.161



Relative calculated energies, zero for the most stable structure, unit meV/atom: entry a 388; entry b 0.



Entry a
5
Lattice="5.408 0.000 0.000 0.000 5.408 0.000 0.000 0.000 5.408" Properties=species:S:1:pos:R:3 comment="Mg3BiSb PBE optimized geometry" rho_g_cm3=4.24 vol_a3_per_cell=158 pbc="T T T"
Mg 0.000 2.704 0.000
Bi 0.000 0.000 0.000
Mg 0.000 0.000 2.704
Sb 2.704 2.704 2.704
Mg 2.704 0.000 0.000



Entry b
10
Lattice="-2.030 2.944 -3.089 1.402 -7.215 -4.104 -7.544 -1.727 3.305" Properties=species:S:1:pos:R:3 comment="Mg3BiSb PBE optimized geometry" rho_g_cm3=4.24 vol_a3_per_cell=316 pbc="T T T"
Bi -1.628 -3.058 -5.454
Mg -3.977 -2.867 -3.714
Mg -1.334 -0.794 -3.425
Mg -6.837 -5.204 -0.463
Sb -4.419 -5.281 -2.108
Mg -4.195 -3.131 -0.174
Bi -6.544 -2.940 1.566
Mg -6.720 -4.926 -3.878
Mg -1.452 -1.072 -0.009
Sb -3.753 -0.717 -1.780



Relative calculated energies, zero for the most stable structure, unit meV/atom: entry a 548; entry b 0.



Entry a
5
Lattice="5.384 0.000 0.000 0.000 5.384 0.000 0.000 0.000 5.384" Properties=species:S:1:pos:R:3 comment="MgBiSb3 PBE optimized geometry" rho_g_cm3=6.37 vol_a3_per_cell=156 pbc="T T T"
Sb 2.692 0.000 0.000
Sb 0.000 2.692 0.000
Sb 0.000 0.000 2.692
Mg 0.000 0.000 0.000
Bi 2.692 2.692 2.692



Entry b
5
Lattice="5.824 0.000 0.000 0.000 5.824 0.000 0.000 0.000 5.824" Properties=species:S:1:pos:R:3 comment="MgBiSb3 PBE optimized geometry" rho_g_cm3=5.03 vol_a3_per_cell=198 pbc="T T T"
Bi 0.000 0.000 0.000
Sb 0.000 2.912 0.000
Sb 0.000 0.000 2.912
Sb 2.912 0.000 0.000
Mg 2.912 2.912 2.912



Relative calculated energies, zero for the most stable structure, unit meV/atom: entry a 0; entry b 369.



Entry a
5
Lattice="5.956 0.000 0.000 0.000 5.801 0.000 0.000 0.000 5.956" Properties=species:S:1:pos:R:3 comment="MgBiSbTe2 PBE optimized geometry" rho_g_cm3=4.92 vol_a3_per_cell=206 pbc="T T T"
Mg 2.978 2.901 2.978
Te 2.978 0.000 0.000
Sb 0.000 2.901 0.000
Te 0.000 0.000 2.978
Bi 0.000 0.000 0.000



Entry b
5
Lattice="5.415 0.000 0.000 0.000 5.415 0.000 0.000 0.000 5.432" Properties=species:S:1:pos:R:3 comment="MgBiSbTe2 PBE optimized geometry" rho_g_cm3=6.36 vol_a3_per_cell=159 pbc="T T T"
Mg 0.000 0.000 0.000
Te 2.708 0.000 0.000
Sb 0.000 0.000 2.716
Bi 2.708 2.708 2.716
Te 0.000 2.708 0.000



Relative calculated energies, zero for the most stable structure, unit meV/atom: entry a 300; entry b 0.



Entry a
10
Lattice="-2.846 3.408 -5.997 -6.731 -2.791 1.608 -0.894 3.571 2.453" Properties=species:S:1:pos:R:3 comment="Mg2Sc2Bi PBE optimized geometry" rho_g_cm3=4.69 vol_a3_per_cell=246 pbc="T T T"
Bi 0.000 0.000 0.000
Sc -5.343 0.489 1.330
Mg -2.850 -0.573 -0.204
Sc -5.128 3.699 -3.265
Sc -2.491 2.499 -0.557
Mg -2.693 1.786 -3.581
Sc -7.980 1.689 -1.379
Bi -4.788 0.309 -2.194
Mg -6.884 -1.169 -0.808
Mg -6.727 1.190 -4.184



Entry b
10
Lattice="-6.833 -2.554 -2.049 2.511 -1.045 -7.072 1.286 -4.319 1.095" Properties=species:S:1:pos:R:3 comment="Mg2Sc2Bi PBE optimized geometry" rho_g_cm3=4.33 vol_a3_per_cell=266 pbc="T T T"
Mg -1.637 -4.704 -6.810
Sc -4.065 -1.817 -2.393
Sc -4.175 -2.850 -6.338
Bi 0.000 0.000 0.000
Sc -0.146 -0.749 -2.782
Mg -1.399 -3.215 -1.216
Sc -0.257 -1.782 -6.728
Bi -2.161 -1.799 -4.560
Mg 1.263 -3.212 -4.330
Mg -4.298 -4.707 -3.696



Relative calculated energies, zero for the most stable structure, unit meV/atom: entry a 0; entry b 16.



Entry a
10
Lattice="-6.766 -3.696 2.600 3.054 -0.288 7.536 -1.617 3.516 0.790" Properties=species:S:1:pos:R:3 comment="MgSc2Bi2 PBE optimized geometry" rho_g_cm3=6.76 vol_a3_per_cell=261 pbc="T T T"
Bi -2.748 -0.937 8.422
Mg -1.856 -1.992 5.068
Sc -3.902 -2.406 2.719
Sc -3.864 -3.363 7.059
Mg 0.000 0.000 0.000
Sc 0.152 -0.621 3.077
Bi 0.110 0.961 5.824
Bi -2.582 0.468 2.504
Bi -5.439 -1.429 5.102
Sc 0.190 -1.578 7.417



Entry b
10
Lattice="8.059 0.000 0.000 0.000 8.059 0.000 0.000 0.000 3.968" Properties=species:S:1:pos:R:3 comment="MgSc2Bi2 PBE optimized geometry" rho_g_cm3=6.86 vol_a3_per_cell=258 pbc="T T T"
Sc 6.871 2.841 1.984
Bi 6.810 5.277 0.000
Mg 0.000 0.000 0.000
Sc 1.188 5.217 1.984
Sc 5.217 6.871 1.984
Bi 2.781 6.810 0.000
Bi 1.248 2.781 0.000
Bi 5.277 1.248 0.000
Mg 4.029 4.029 0.000
Sc 2.841 1.188 1.984



Relative calculated energies, zero for the most stable structure, unit meV/atom: entry a 74; entry b 0.